(1)
Below is a relaxed structure of KSr2Au, with properties calculated at the PBEsol level.

abc: 3.870 3.870 10.778
angles: 90.00 90.00 90.00
Sites, in units of the cell vectors:
K 0.500 0.500 0.500
Au 0.500 0.500 0.000
Sr 0.000 0.000 0.164
Sr 0.000 0.000 0.836

Results
Symmetry: P4/mmm
Total DFT energy (no corrections): -2.508 eV per atom
E above lowest polymorph: 8 kJ/mol of formula units

(2)
Below is a relaxed structure of BaScCl2, with properties calculated at the PBEsol level.

abc: 3.531 3.842 8.938
angles: 90.00 90.00 117.36
Each line ends with the local moment (μB).
Sites, in units of the cell vectors:
Ba 0.500 0.000 0.000  0.02
Cl 0.000 0.000 0.287  0.00
Cl 0.000 0.000 0.713  0.00
Sc 0.500 0.000 0.500  0.15

Results
Symmetry: Cmmm
Total DFT energy (no corrections): -4.436 eV per atom
E above lowest polymorph: 64 kJ/mol of formula units
Formation energy (no corrections): -120.0 kJ per mole of atoms

(3)
Below is a relaxed structure of KReHgSe2, with properties calculated at the PBEsol level.

abc: 5.479 5.557 5.557
angles: 90.00 90.00 90.00
Each line ends with the local moment (μB).
Sites, in units of the cell vectors:
Hg 0.500 0.000 0.000  0.03
K 0.000 0.000 0.000  -0.01
Se 0.000 0.000 0.500  -0.22
Se 0.000 0.500 0.000  -0.22
Re 0.500 0.500 0.500  4.20

Results
Symmetry: P4/mmm
Total DFT energy (no corrections): -2.619 eV per atom
Formation energy (no corrections): 186.0 kJ per mole of atoms

(4)
Below is a relaxed structure of B3SbP, with properties calculated at the PBEsol level.

abc: 4.402 4.402 4.402
angles: 90.00 90.00 90.00
Sites, in units of the cell vectors:
B 0.000 0.500 0.000
B 0.500 0.000 0.000
B 0.000 0.000 0.500
Sb 0.000 0.000 0.000
P 0.500 0.500 0.500

Results
Symmetry: Pm-3m
Total DFT energy (no corrections): -3.941 eV per atom
Formation energy (no corrections): 225.6 kJ per mole of atoms

(5)
Below is a relaxed structure of MgSiSb2, with properties calculated at the PBEsol level.

abc: 3.868 3.868 7.757
angles: 75.56 75.56 60.00
Sites, in units of the cell vectors:
Mg 0.241 0.241 0.277
Sb 0.998 0.998 0.005
Sb 0.764 0.764 0.707
Si 0.496 0.496 0.511

Results
Symmetry: R3m
Total DFT energy (no corrections): -4.033 eV per atom
Formation energy (no corrections): 10.8 kJ per mole of atoms

(6)
Below is a relaxed structure of GeAuN2O, with properties calculated at the PBEsol level.

abc: 3.616 3.880 3.880
angles: 90.00 90.00 90.00
Each line ends with the local moment (μB).
Sites, in units of the cell vectors:
Au 0.500 0.500 0.500  0.13
N 0.000 0.500 0.000  0.32
N 0.000 0.000 0.500  0.32
O 0.500 0.000 0.000  0.28
Ge 0.000 0.000 0.000  -0.03

Results
Symmetry: P4/mmm
Total DFT energy (no corrections): -5.295 eV per atom
Formation energy (no corrections): 90.5 kJ per mole of atoms

(7)
Below is a relaxed structure of FeTc2Au, with properties calculated at the PBEsol level.

abc: 2.684 2.684 9.026
angles: 81.45 81.45 60.00
Each line ends with the local moment (μB).
Sites, in units of the cell vectors:
Tc 0.742 0.742 0.774  -0.07
Tc 0.258 0.258 0.226  -0.07
Fe 0.000 0.000 0.000  1.58
Au 0.500 0.500 0.500  0.01

Results
Symmetry: R-3m
Total DFT energy (no corrections): -8.620 eV per atom
E above lowest polymorph: 16 kJ/mol of formula units

(8)
Below is a relaxed structure of SbOsRu2, with properties calculated at the PBEsol level.

abc: 2.887 4.707 4.744
angles: 99.60 90.00 107.85
Sites, in units of the cell vectors:
Ru 0.757 0.514 0.772
Ru 0.243 0.486 0.228
Sb 0.000 0.000 0.500
Os 0.500 0.000 0.000

Results
Symmetry: C2/m
Total DFT energy (no corrections): -8.957 eV per atom
Formation energy (no corrections): 31.1 kJ per mole of atoms

(9)
Below is a relaxed structure of MnSb4Cl, with properties calculated at the PBEsol level.

abc: 6.094 6.094 6.094
angles: 60.00 60.00 60.00
Each line ends with the local moment (μB).
Sites, in units of the cell vectors:
Sb 0.378 0.378 0.865  0.00
Sb 0.865 0.378 0.378  0.00
Sb 0.378 0.865 0.378  0.00
Sb 0.378 0.378 0.378  0.00
Mn 0.000 0.000 0.000  4.46
Cl 0.750 0.750 0.750  0.04

Results
Symmetry: F-43m
Total DFT energy (no corrections): -4.577 eV per atom
Formation energy (no corrections): 40.8 kJ per mole of atoms

(10)
Below is a relaxed structure of BeCdSi2Ag, with properties calculated at the PBEsol level.

abc: 4.872 4.872 5.038
angles: 90.00 90.00 90.00
Sites, in units of the cell vectors:
Ag 0.000 0.000 0.500
Cd 0.000 0.000 0.000
Si 0.000 0.500 0.000
Si 0.500 0.000 0.000
Be 0.500 0.500 0.500

Results
Symmetry: P4/mmm
Total DFT energy (no corrections): -2.490 eV per atom
Formation energy (no corrections): 145.7 kJ per mole of atoms

(11)
Below is a relaxed structure of RbPCl2, with properties calculated at the PBEsol level.

abc: 3.731 3.731 9.359
angles: 78.50 78.50 60.00
Sites, in units of the cell vectors:
Rb 0.500 0.500 0.500
P 0.000 0.000 0.000
Cl 0.085 0.085 0.745
Cl 0.915 0.915 0.255

Results
Symmetry: R-3m
Total DFT energy (no corrections): -3.201 eV per atom
E above lowest polymorph: 0 kJ/mol of formula units
Formation energy (no corrections): -47.6 kJ per mole of atoms

(12)
Below is a relaxed structure of BaIn2Mo, with properties calculated at the PBEsol level.

abc: 4.629 4.629 4.925
angles: 90.00 90.00 90.00
Each line ends with the local moment (μB).
Sites, in units of the cell vectors:
In 0.000 0.500 0.000  -0.03
In 0.500 0.000 0.000  -0.03
Mo 0.500 0.500 0.500  2.69
Ba 0.000 0.000 0.500  0.05

Results
Symmetry: P4/mmm
Total DFT energy (no corrections): -4.293 eV per atom
E above lowest polymorph: 98 kJ/mol of formula units

(13)
Below is a relaxed structure of SrPbAu2, with properties calculated at the PBEsol level.

abc: 4.167 4.426 5.874
angles: 90.00 110.78 90.00
Sites, in units of the cell vectors:
Au 0.675 0.500 0.349
Au 0.833 0.000 0.665
Sr 0.396 0.500 0.792
Pb 0.107 0.000 0.214

Results
Symmetry: Amm2
Total DFT energy (no corrections): -3.868 eV per atom

(14)
Below is a relaxed structure of MgNi3Sb, with properties calculated at the PBEsol level.

abc: 4.562 4.562 4.562
angles: 90.00 90.00 90.00
Sites, in units of the cell vectors:
Ni 0.000 0.500 0.000
Ni 0.500 0.000 0.000
Ni 0.000 0.000 0.500
Mg 0.500 0.500 0.500
Sb 0.000 0.000 0.000

Results
Symmetry: Pm-3m
Total DFT energy (no corrections): -4.339 eV per atom
Formation energy (no corrections): 58.9 kJ per mole of atoms

(15)
Below is a relaxed structure of CdCu2Pt, with properties calculated at the PBEsol level.

abc: 2.791 3.687 5.533
angles: 90.00 90.00 90.00
Sites, in units of the cell vectors:
Cu 0.500 0.500 0.243
Cu 0.000 0.000 0.020
Cd 0.500 0.500 0.759
Pt 0.000 0.000 0.478

Results
Symmetry: Pmm2
Total DFT energy (no corrections): -4.295 eV per atom

(16)
Below is a relaxed structure of ZrBeI2, with properties calculated at the PBEsol level.

abc: 6.292 6.937 6.292
angles: 63.03 90.00 116.97
Sites, in units of the cell vectors:
I 0.566 0.750 0.375
I 0.184 0.750 0.875
I 0.875 0.250 0.566
I 0.375 0.250 0.184
Zr 0.000 0.000 0.000
Zr 0.750 0.500 0.750
Be 0.250 0.500 0.250
Be 0.500 0.000 0.500

Results
Symmetry: I-42d
Total DFT energy (no corrections): -3.640 eV per atom
Formation energy (no corrections): 49.8 kJ per mole of atoms

(17)
Below is a relaxed structure of Sr5Pt, with properties calculated at the PBEsol level.

abc: 3.924 7.147 9.796
angles: 69.82 78.45 74.07
Sites, in units of the cell vectors:
Sr 0.886 0.842 0.386
Sr 0.500 0.000 0.000
Sr 0.829 0.565 0.777
Sr 0.114 0.158 0.614
Sr 0.171 0.435 0.223
Pt 0.500 0.500 0.500

Results
Symmetry: C2/m
Total DFT energy (no corrections): -2.927 eV per atom

(18)
Below is a relaxed structure of YBeZn2, with properties calculated at the PBEsol level.

abc: 4.001 4.001 5.403
angles: 68.27 68.27 60.00
Sites, in units of the cell vectors:
Zn 0.041 0.041 0.876
Zn 0.767 0.767 0.700
Be 0.448 0.448 0.656
Y 0.247 0.247 0.260

Results
Symmetry: R3m
Total DFT energy (no corrections): -3.673 eV per atom

(19)
Below is a relaxed structure of Ta2BeZn, with properties calculated at the PBEsol level.

abc: 4.407 4.407 4.407
angles: 60.00 60.00 60.00
Sites, in units of the cell vectors:
Ta 0.000 0.000 0.000
Ta 0.750 0.750 0.750
Be 0.500 0.500 0.500
Zn 0.250 0.250 0.250

Results
Symmetry: F-43m
Total DFT energy (no corrections): -7.142 eV per atom
E above lowest polymorph: 188 kJ/mol of formula units

(20)
Below is a relaxed structure of MgFe2O4, with properties calculated at the PBEsol level.

abc: 5.726 5.726 5.726
angles: 60.00 60.00 60.00
Each line ends with the local moment (μB).
Sites, in units of the cell vectors:
O 0.415 0.862 0.862  0.00
O 0.388 0.835 0.388  0.00
O 0.388 0.388 0.388  0.00
O 0.388 0.388 0.835  0.00
O 0.862 0.862 0.415  0.00
O 0.862 0.862 0.862  0.00
O 0.862 0.415 0.862  0.00
O 0.835 0.388 0.388  0.00
Mg 0.250 0.250 0.250  0.00
Mg 0.000 0.000 0.000  0.00
Fe 0.125 0.625 0.625  0.99
Fe 0.625 0.125 0.625  0.99
Fe 0.625 0.625 0.125  0.99
Fe 0.625 0.625 0.625  0.99

Results
Symmetry: Fd-3m
Total DFT energy (no corrections): -7.434 eV per atom
Formation energy (no corrections): -157.1 kJ per mole of atoms

(21)
Below is a relaxed structure of NaLaS2, with properties calculated at the PBEsol level.

abc: 4.145 4.145 5.604
angles: 90.00 90.00 90.00
Sites, in units of the cell vectors:
S 0.000 0.000 0.500
S 0.500 0.500 0.000
Na 0.000 0.000 0.000
La 0.500 0.500 0.500

Results
Symmetry: P4/mmm
Total DFT energy (no corrections): -5.658 eV per atom
Formation energy (no corrections): -171.7 kJ per mole of atoms

(22)
Below is a relaxed structure of CrCo3, with properties calculated at the PBEsol level.

abc: 2.459 2.459 7.872
angles: 90.00 90.00 120.00
Each line ends with the local moment (μB).
Sites, in units of the cell vectors:
Co 0.333 0.667 0.749  0.65
Co 0.000 0.000 0.000  1.44
Co 0.333 0.667 0.251  0.65
Cr 0.000 0.000 0.500  -0.40

Results
Symmetry: P-6m2
Total DFT energy (no corrections): -8.305 eV per atom
E above lowest polymorph: 37 kJ/mol of formula units

(23)
Below is a relaxed structure of Hg2WBr, with properties calculated at the PBEsol level.

abc: 4.826 4.826 4.826
angles: 60.00 60.00 60.00
Each line ends with the local moment (μB).
Sites, in units of the cell vectors:
Hg 0.250 0.250 0.250  -0.02
Hg 0.000 0.000 0.000  0.04
W 0.750 0.750 0.750  1.44
Br 0.500 0.500 0.500  -0.02

Results
Symmetry: F-43m
Total DFT energy (no corrections): -3.042 eV per atom
E above lowest polymorph: 188 kJ/mol of formula units
Formation energy (no corrections): 112.0 kJ per mole of atoms

(24)
Below is a relaxed structure of MoAu2, with properties calculated at the PBEsol level.

abc: 2.718 5.549 6.920
angles: 103.96 90.00 104.18
Sites, in units of the cell vectors:
Mo 0.721 0.442 0.938
Mo 0.063 0.126 0.624
Au 0.658 0.317 0.336
Au 0.336 0.672 0.665
Au 0.385 0.770 0.277
Au 0.003 0.006 0.994

Results
Symmetry: Cm
Total DFT energy (no corrections): -6.291 eV per atom

(25)
Below is a relaxed structure of LiSn4P3O12, with properties calculated at the PBEsol level.

abc: 9.305 9.305 9.772
angles: 61.57 61.57 60.00
Sites, in units of the cell vectors:
Li 0.469 0.469 0.594
Li 0.969 0.969 0.094
P 0.665 0.791 0.351
P 0.165 0.693 0.851
P 0.791 0.193 0.351
P 0.291 0.165 0.851
P 0.693 0.291 0.851
P 0.193 0.665 0.351
O 0.656 0.885 0.452
O 0.885 0.008 0.452
O 0.801 0.192 0.188
O 0.301 0.319 0.688
O 0.184 0.766 0.952
O 0.319 0.692 0.688
O 0.599 0.266 0.452
O 0.993 0.814 0.807
O 0.819 0.801 0.188
O 0.814 0.385 0.807
O 0.684 0.599 0.452
O 0.885 0.314 0.307
O 0.314 0.493 0.307
O 0.008 0.656 0.452
O 0.508 0.385 0.952
O 0.156 0.508 0.952
O 0.692 0.301 0.688
O 0.493 0.885 0.307
O 0.192 0.819 0.188
O 0.099 0.184 0.952
O 0.266 0.684 0.452
O 0.385 0.993 0.807
O 0.766 0.099 0.952
O 0.385 0.156 0.952
Sn 0.231 0.911 0.482
Sn 0.731 0.876 0.982
Sn 0.411 0.731 0.982
Sn 0.376 0.231 0.482
Sn 0.296 0.296 0.112
Sn 0.911 0.376 0.482
Sn 0.876 0.411 0.982
Sn 0.796 0.796 0.612

Results
Symmetry: R3c
Total DFT energy (no corrections): -6.883 eV per atom
Formation energy (no corrections): -184.7 kJ per mole of atoms

(26)
Below is a relaxed structure of KYRe, with properties calculated at the PBEsol level.

abc: 4.817 4.817 4.817
angles: 60.00 60.00 60.00
Each line ends with the local moment (μB).
Sites, in units of the cell vectors:
K 0.250 0.250 0.250  0.04
Re 0.000 0.000 0.000  1.81
Y 0.500 0.500 0.500  -0.14

Results
Symmetry: F-43m
Total DFT energy (no corrections): -4.789 eV per atom
E above lowest polymorph: 357 kJ/mol of formula units

(27)
Below is a relaxed structure of Er2Mg2Ru, with properties calculated at the PBEsol level.

abc: 3.333 3.333 10.462
angles: 99.17 99.17 90.00
Sites, in units of the cell vectors:
Mg 0.201 0.201 0.402
Mg 0.799 0.799 0.598
Ru 0.000 0.000 0.000
Er 0.421 0.421 0.842
Er 0.579 0.579 0.158

Results
Symmetry: I4/mmm
Total DFT energy (no corrections): -4.950 eV per atom